Version one
Here is NbCo2HOs after structural relaxation from Alexandria via LeMat-Bulk. Energies are from PBE-GGA.

abc: 3.774 3.774 3.850
angles: 90.00 90.00 90.00
Element x y z (fractional)
Nb 0.000 0.000 0.000
Co 0.000 0.500 0.500
Co 0.500 0.000 0.500
H 0.500 0.500 0.500
Os 0.500 0.500 0.000

Values from the calculation:
Its density of states at the Fermi level is 0.644 states/eV per atom. Its magnetic moment is 0.067 μB per atom.

---

Version two
Here is NbCo2HOs after structural relaxation from Alexandria via LeMat-Bulk. Energies are from PBE-GGA.

abc: 3.717 3.717 3.979
angles: 90.00 90.00 90.00
Element x y z (fractional)
Nb 0.000 0.000 0.000
Co 0.000 0.500 0.500
Co 0.500 0.000 0.500
H 0.000 0.000 0.500
Os 0.500 0.500 0.000

Values from the calculation:
Its density of states at the Fermi level is 0.755 states/eV per atom. Its magnetic moment is 0.003 μB per atom.

---

In order of decreasing stability: version one, version two.

---

Version one
Here is Nb2CoHPd after structural relaxation from Alexandria via LeMat-Bulk. Energies are from PBE-GGA.

abc: 4.046 4.046 3.893
angles: 90.00 90.00 90.00
Element x y z (fractional)
Nb 0.000 0.500 0.000
Nb 0.500 0.000 0.000
Co 0.000 0.000 0.500
H 0.000 0.000 0.000
Pd 0.500 0.500 0.500

Values from the calculation:
Its density of states at the Fermi level is 0.939 states/eV per atom. Its magnetic moment is 0.001 μB per atom.

---

Version two
Here is Nb2CoHPd after structural relaxation from Alexandria via LeMat-Bulk. Energies are from PBE-GGA.

abc: 4.042 4.042 3.961
angles: 90.00 90.00 90.00
Element x y z (fractional)
Nb 0.000 0.500 0.000
Nb 0.500 0.000 0.000
Co 0.000 0.000 0.500
H 0.500 0.500 0.000
Pd 0.500 0.500 0.500

Values from the calculation:
Its density of states at the Fermi level is 0.867 states/eV per atom. Its magnetic moment is 0.181 μB per atom.

---

In order of decreasing stability: version one, version two.

---

Version one
Here is NbCo2ReH after structural relaxation from Alexandria via LeMat-Bulk. Energies are from PBE-GGA.

abc: 3.766 3.766 3.918
angles: 90.00 90.00 90.00
Element x y z (fractional)
Nb 0.000 0.000 0.000
Co 0.000 0.500 0.500
Co 0.500 0.000 0.500
Re 0.500 0.500 0.000
H 0.500 0.500 0.500

Values from the calculation:
Its density of states at the Fermi level is 0.882 states/eV per atom. Its magnetic moment is 0.001 μB per atom.

---

Version two
Here is NbCo2ReH after structural relaxation from Alexandria via LeMat-Bulk. Energies are from PBE-GGA.

abc: 3.732 3.732 3.986
angles: 90.00 90.00 90.00
Element x y z (fractional)
Nb 0.000 0.000 0.000
Co 0.000 0.500 0.500
Co 0.500 0.000 0.500
Re 0.500 0.500 0.000
H 0.000 0.000 0.500

Values from the calculation:
Its density of states at the Fermi level is 0.719 states/eV per atom. Its magnetic moment is 0.001 μB per atom.

---

In order of decreasing stability: version one, version two.

---

Version one
Here is NbCo2HRh after structural relaxation from Alexandria via LeMat-Bulk. Energies are from PBE-GGA.

abc: 3.788 3.788 3.789
angles: 90.00 90.00 90.00
Element x y z (fractional)
Nb 0.000 0.000 0.000
Co 0.000 0.500 0.500
Co 0.500 0.000 0.500
H 0.500 0.500 0.500
Rh 0.500 0.500 0.000

Values from the calculation:
Its density of states at the Fermi level is 0.404 states/eV per atom. Its magnetic moment is 0.159 μB per atom.

---

Version two
Here is NbCo2HRh after structural relaxation from Alexandria via LeMat-Bulk. Energies are from PBE-GGA.

abc: 3.721 3.721 3.958
angles: 90.00 90.00 90.00
Element x y z (fractional)
Nb 0.000 0.000 0.000
Co 0.000 0.500 0.500
Co 0.500 0.000 0.500
H 0.000 0.000 0.500
Rh 0.500 0.500 0.000

Values from the calculation:
Its density of states at the Fermi level is 0.557 states/eV per atom. Its magnetic moment is 0.172 μB per atom.

---

In order of decreasing stability: version one, version two.